Entry 1:
The following is a PBE calculation of a relaxed Sr2CaRe crystal, from Alexandria via LeMat-Bulk.

Cell lengths 3.6218, 3.6218, 10.5901 Å; angles 90.00, 90.00, 90.00 degrees
Fractional positions:
Sr: 0.0000 0.0000 0.0000
Sr: 0.5000 0.5000 0.3395
Ca: 0.5000 0.5000 0.6871
Re: 0.0000 0.0000 0.5246

Crystal system: tetragonal
SG: No. 99
Distance to the lowest polymorph of the same formula, eV/f.u.: 0.00
Calculated total energy, eV per atom: -3.697
M_tot, μB/cell: 1.90
ΔH_f (0 K), eV per atom: 0.756

Entry 2:
The following is a PBE calculation of a relaxed La2TcCl crystal, from Alexandria via LeMat-Bulk.

Cell lengths 3.4630, 5.2166, 5.2631 Å; angles 90.00, 90.00, 90.00 degrees
Fractional positions:
La: 0.0000 0.0000 0.0000
La: 0.0000 0.5000 0.5000
Tc: 0.5000 0.0000 0.5000
Cl: 0.5000 0.5000 0.0000

Crystal system: orthorhombic
SG: No. 47
Distance to the lowest polymorph of the same formula, eV/f.u.: 1.17
Calculated total energy, eV per atom: -5.998
Formation energy without anion corrections, eV per atom: -0.481
M_tot, μB/cell: 0.00

Entry 3:
The following is a PBE calculation of a relaxed RbAsO3 crystal, from Alexandria via LeMat-Bulk.

Cell lengths 13.4901, 13.4901, 13.4901 Å; angles 164.53, 164.53, 21.95 degrees
Fractional positions:
Rb: 0.0000 0.0000 0.0000
Rb: 0.7500 0.2500 0.5000
As: 0.1333 0.6333 0.5000
As: 0.3667 0.8667 0.5000
O: 0.3296 0.3296 0.0000
O: 0.4007 0.0936 0.3070
O: 0.6704 0.6704 0.0000
O: 0.7866 0.0936 0.6930
O: 0.9064 0.2134 0.3070
O: 0.9064 0.5993 0.6930

Crystal system: tetragonal
SG: No. 119
Calculated total energy, eV per atom: -4.661
Formation energy without anion corrections, eV per atom: -0.563
M_tot, μB/cell: 0.00

Entry 4:
The following is a PBE calculation of a relaxed BaIn2Br crystal, from Alexandria via LeMat-Bulk.

Cell lengths 3.8769, 3.8769, 9.9457 Å; angles 90.00, 90.00, 110.07 degrees
Fractional positions:
Ba: 0.0000 0.0000 0.0000
In: 0.5000 0.5000 0.2779
In: 0.5000 0.5000 0.7221
Br: 0.0000 0.0000 0.5000

Crystal system: orthorhombic
SG: No. 65
Distance to the lowest polymorph of the same formula, eV/f.u.: 2.05
Calculated total energy, eV per atom: -2.490
Formation energy without anion corrections, eV per atom: -0.221
M_tot, μB/cell: 0.00

Entry 5:
The following is a PBE calculation of a relaxed Ac2PuSn crystal, from Alexandria via LeMat-Bulk.

Cell lengths 5.8021, 5.8021, 5.8021 Å; angles 60.00, 60.00, 60.00 degrees
Fractional positions:
Ac: 0.2500 0.2500 0.2500
Ac: 0.7500 0.7500 0.7500
Pu: 0.0000 0.0000 0.0000
Sn: 0.5000 0.5000 0.5000

Crystal system: cubic
SG: No. 225
Distance to the lowest polymorph of the same formula, eV/f.u.: 0.53
Calculated total energy, eV per atom: -6.715
M_tot, μB/cell: 6.89
ΔH_f (0 K), eV per atom: -0.077

Entry 6:
The following is a PBE calculation of a relaxed Tb2SBr crystal, from Alexandria via LeMat-Bulk.

Cell lengths 7.9772, 7.9772, 7.9772 Å; angles 27.54, 27.54, 27.54 degrees
Fractional positions:
Tb: 0.0000 0.0000 0.0000
Tb: 0.1972 0.1972 0.1972
S: 0.5993 0.5993 0.5993
Br: 0.7672 0.7672 0.7672

Crystal system: trigonal
SG: No. 160
Distance to the lowest polymorph of the same formula, eV/f.u.: 0.03
Calculated total energy, eV per atom: -5.259
Formation energy without anion corrections, eV per atom: -1.493
M_tot, μB/cell: 0.00

Entry 7:
The following is a PBE calculation of a relaxed ScAgC crystal, from Alexandria via LeMat-Bulk.

Cell lengths 3.1359, 4.7064, 6.3493 Å; angles 90.00, 90.00, 90.00 degrees
Fractional positions:
Sc: 0.0000 0.0000 0.0000
Sc: 0.0000 0.5000 0.3448
Ag: 0.5000 0.0000 0.6038
Ag: 0.5000 0.5000 0.8295
C: 0.5000 0.1487 0.2494
C: 0.5000 0.8513 0.2494

Crystal system: orthorhombic
SG: No. 25
Calculated total energy, eV per atom: -6.213
M_tot, μB/cell: 0.00
ΔH_f (0 K), eV per atom: -0.077

Entry 8:
The following is a PBE calculation of a relaxed KAgAs2Br crystal, from Alexandria via LeMat-Bulk.

Cell lengths 6.4716, 6.4716, 5.8415 Å; angles 90.00, 90.00, 90.00 degrees
Fractional positions:
K: 0.0000 0.0000 0.0000
Ag: 0.5000 0.5000 0.5000
As: 0.0000 0.5000 0.0000
As: 0.5000 0.0000 0.0000
Br: 0.0000 0.0000 0.5000

Crystal system: tetragonal
SG: No. 123
Distance to the lowest polymorph of the same formula, eV/f.u.: 4.80
Calculated total energy, eV per atom: -1.963
Formation energy without anion corrections, eV per atom: 1.021
M_tot, μB/cell: 5.00

Entry 9:
The following is a PBE calculation of a relaxed CeEuH crystal, from Alexandria via LeMat-Bulk.

Cell lengths 4.3553, 3.7795, 9.0923 Å; angles 90.00, 91.62, 90.00 degrees
Fractional positions:
Ce: 0.1983 0.2500 0.0659
Ce: 0.8017 0.7500 0.9341
Eu: 0.2648 0.2500 0.6488
Eu: 0.7352 0.7500 0.3512
H: 0.4679 0.7500 0.1267
H: 0.5321 0.2500 0.8733

Crystal system: monoclinic
SG: No. 11
Distance to the lowest polymorph of the same formula, eV/f.u.: 0.00
Calculated total energy, eV per atom: -6.658
M_tot, μB/cell: 16.69

Entry 10:
The following is a PBE calculation of a relaxed TeAsIr2 crystal, from Alexandria via LeMat-Bulk.

Cell lengths 3.1192, 3.1192, 7.1440 Å; angles 90.00, 90.00, 90.19 degrees
Fractional positions:
Te: 0.0000 0.0000 0.0000
As: 0.0000 0.0000 0.5000
Ir: 0.5000 0.5000 0.2927
Ir: 0.5000 0.5000 0.7073

Crystal system: orthorhombic
SG: No. 65
Distance to the lowest polymorph of the same formula, eV/f.u.: 2.01
Calculated total energy, eV per atom: -6.007
Formation energy without anion corrections, eV per atom: 0.371
M_tot, μB/cell: 0.00

Entry 11:
The following is a PBE calculation of a relaxed MnSbIrRu crystal, from Alexandria via LeMat-Bulk.

Cell lengths 4.4582, 4.4582, 4.4582 Å; angles 60.00, 60.00, 60.00 degrees
Fractional positions:
Mn: 0.0000 0.0000 0.0000
Sb: 0.5000 0.5000 0.5000
Ir: 0.2500 0.2500 0.2500
Ru: 0.7500 0.7500 0.7500

Crystal system: cubic
SG: No. 216
Calculated total energy, eV per atom: -7.922
Formation energy without anion corrections, eV per atom: -0.065
M_tot, μB/cell: 5.02

Entry 12:
The following is a PBE calculation of a relaxed DyHoTm6 crystal, from Alexandria via LeMat-Bulk.

Cell lengths 6.4676, 6.6565, 6.8133 Å; angles 119.20, 103.16, 90.05 degrees
Fractional positions:
Dy: 0.0000 0.0000 0.0000
Ho: 0.5000 0.0000 0.0000
Tm: 0.2309 0.5732 0.4799
Tm: 0.2503 0.5504 0.0002
Tm: 0.2696 0.0934 0.5211
Tm: 0.7304 0.9066 0.4789
Tm: 0.7497 0.4496 0.9998
Tm: 0.7691 0.4268 0.5201

Crystal system: triclinic
SG: No. 2
Distance to the lowest polymorph of the same formula, eV/f.u.: 0.00
Calculated total energy, eV per atom: -4.285
M_tot, μB/cell: 0.00
ΔH_f (0 K), eV per atom: 0.216

Entry 13:
The following is a PBE calculation of a relaxed ZnSIN2 crystal, from Alexandria via LeMat-Bulk.

Cell lengths 3.8993, 3.8993, 6.1168 Å; angles 90.00, 90.00, 90.00 degrees
Fractional positions:
Zn: 0.0000 0.0000 0.0000
S: 0.5000 0.5000 0.0000
I: 0.5000 0.5000 0.5000
N: 0.0000 0.5000 0.5000
N: 0.5000 0.0000 0.5000

Crystal system: tetragonal
SG: No. 123
Distance to the lowest polymorph of the same formula, eV/f.u.: 1.17
Calculated total energy, eV per atom: -3.040
Formation energy without anion corrections, eV per atom: 1.681
M_tot, μB/cell: 0.00

Entry 14:
The following is a PBE calculation of a relaxed CdHg crystal, from Alexandria via LeMat-Bulk.

Cell lengths 4.5335, 4.5335, 6.1212 Å; angles 90.00, 90.00, 120.00 degrees
Fractional positions:
Cd: 0.0000 0.0000 0.0000
Cd: 0.0000 0.0000 0.5000
Hg: 0.3333 0.6667 0.2500
Hg: 0.6667 0.3333 0.7500

Crystal system: hexagonal
SG: No. 194
Calculated total energy, eV per atom: -0.578
M_tot, μB/cell: 0.00
ΔH_f (0 K), eV per atom: 0.031

Entry 15:
The following is a PBE calculation of a relaxed ZrBePd2 crystal, from Alexandria via LeMat-Bulk.

Cell lengths 4.8096, 4.8096, 4.8096 Å; angles 51.89, 51.89, 51.89 degrees
Fractional positions:
Zr: 0.0000 0.0000 0.0000
Be: 0.5000 0.5000 0.5000
Pd: 0.2241 0.2241 0.2241
Pd: 0.7759 0.7759 0.7759

Crystal system: trigonal
SG: No. 166
Distance to the lowest polymorph of the same formula, eV/f.u.: 0.71
Calculated total energy, eV per atom: -6.166
M_tot, μB/cell: 0.00
ΔH_f (0 K), eV per atom: -0.501

Entry 16:
The following is a PBE calculation of a relaxed Tb2PmDyY2 crystal, from Alexandria via LeMat-Bulk.

Cell lengths 6.5706, 17.8010, 3.4056 Å; angles 90.00, 90.00, 90.00 degrees
Fractional positions:
Tb: 0.2236 0.1475 0.0000
Tb: 0.2764 0.6475 0.5000
Tb: 0.7236 0.3525 0.5000
Tb: 0.7764 0.8525 0.0000
Pm: 0.0000 0.5000 0.5000
Pm: 0.5000 0.0000 0.0000
Dy: 0.0000 0.0000 0.5000
Dy: 0.5000 0.5000 0.0000
Y: 0.2259 0.3153 0.5000
Y: 0.2741 0.8153 0.0000
Y: 0.7259 0.1847 0.0000
Y: 0.7741 0.6847 0.5000

Crystal system: orthorhombic
SG: No. 58
Calculated total energy, eV per atom: -4.993
M_tot, μB/cell: 0.00
ΔH_f (0 K), eV per atom: 0.264

Entry 17:
The following is a PBE calculation of a relaxed LiZnPO4 crystal, from Alexandria via LeMat-Bulk.

Cell lengths 10.0546, 10.0546, 17.4092 Å; angles 108.14, 108.14, 58.95 degrees
Fractional positions:
Li: 0.0293 0.9707 0.0000
Li: 0.0849 0.4760 0.9983
Li: 0.2168 0.3518 0.2488
Li: 0.2793 0.8501 0.2498
Li: 0.3506 0.7171 0.7481
Li: 0.3518 0.2168 0.7488
Li: 0.4690 0.5854 0.4978
Li: 0.4760 0.0849 0.4983
Li: 0.5286 0.9651 0.9981
Li: 0.5854 0.4690 0.9978
Li: 0.7171 0.3506 0.2481
Li: 0.7776 0.8504 0.2496
Li: 0.8501 0.2793 0.7498
Li: 0.8504 0.7776 0.7496
Li: 0.9651 0.5286 0.4981
Li: 0.9707 0.0293 0.5000
Zn: 0.1006 0.7137 0.3728
Zn: 0.1536 0.2156 0.3720
Zn: 0.2156 0.1536 0.8720
Zn: 0.2200 0.6549 0.8732
Zn: 0.3384 0.9058 0.6229
Zn: 0.3395 0.4058 0.6227
Zn: 0.4058 0.3395 0.1227
Zn: 0.4673 0.8397 0.1233
Zn: 0.6007 0.7185 0.3731
Zn: 0.6549 0.2200 0.3732
Zn: 0.7137 0.1006 0.8728
Zn: 0.7185 0.6007 0.8731
Zn: 0.8366 0.9691 0.6236
Zn: 0.8397 0.4673 0.6233
Zn: 0.9058 0.3384 0.1229
Zn: 0.9691 0.8366 0.1236
P: 0.0255 0.9664 0.8117
P: 0.0286 0.4670 0.8115
P: 0.1580 0.7178 0.5603
P: 0.1613 0.2186 0.5604
P: 0.2186 0.1613 0.0604
P: 0.2763 0.6602 0.0622
P: 0.4123 0.5285 0.3100
P: 0.4670 0.0286 0.3115
P: 0.5263 0.9110 0.8100
P: 0.5285 0.4123 0.8100
P: 0.6582 0.7751 0.5617
P: 0.6602 0.2763 0.5622
P: 0.7178 0.1580 0.0603
P: 0.7751 0.6582 0.0617
P: 0.9110 0.5263 0.3100
P: 0.9664 0.0255 0.3117
O: 0.0120 0.9471 0.3866
O: 0.0126 0.4459 0.3863
O: 0.0423 0.1048 0.8012
O: 0.0483 0.6028 0.8002
O: 0.0780 0.1490 0.0712
O: 0.1048 0.0423 0.3012
O: 0.1458 0.5779 0.5720
O: 0.1490 0.0780 0.5712
O: 0.1704 0.7372 0.9855
O: 0.1754 0.2396 0.9861
O: 0.1930 0.8240 0.8242
O: 0.1943 0.3223 0.8245
O: 0.1973 0.7714 0.1375
O: 0.2300 0.6739 0.4832
O: 0.2396 0.1754 0.4861
O: 0.2418 0.5510 0.2945
O: 0.2654 0.2684 0.1382
O: 0.2684 0.2654 0.6382
O: 0.2696 0.7618 0.6363
O: 0.2866 0.4948 0.0478
O: 0.3223 0.1943 0.3245
O: 0.3588 0.9920 0.0471
O: 0.4055 0.6926 0.3254
O: 0.4144 0.9907 0.7351
O: 0.4159 0.4914 0.7351
O: 0.4241 0.9171 0.2353
O: 0.4445 0.6432 0.0769
O: 0.4459 0.0126 0.8863
O: 0.4513 0.5148 0.8873
O: 0.4914 0.4159 0.2351
O: 0.4933 0.7856 0.5486
O: 0.4948 0.2866 0.5478
O: 0.5148 0.4513 0.3873
O: 0.5162 0.9515 0.3875
O: 0.5510 0.2418 0.7945
O: 0.5509 0.7397 0.7943
O: 0.5779 0.1458 0.0720
O: 0.6028 0.0483 0.3002
O: 0.6420 0.9430 0.5766
O: 0.6432 0.4445 0.5769
O: 0.6703 0.7292 0.9830
O: 0.6739 0.2300 0.9832
O: 0.6899 0.9053 0.8258
O: 0.6926 0.4055 0.8254
O: 0.6953 0.7733 0.1362
O: 0.7292 0.6703 0.4830
O: 0.7372 0.1704 0.4855
O: 0.7397 0.5509 0.2943
O: 0.7618 0.2696 0.1363
O: 0.7714 0.1973 0.6375
O: 0.7733 0.6953 0.6362
O: 0.7856 0.4933 0.0486
O: 0.8240 0.1930 0.3242
O: 0.8604 0.9901 0.0483
O: 0.9053 0.6899 0.3258
O: 0.9159 0.9225 0.7347
O: 0.9171 0.4241 0.7353
O: 0.9225 0.9159 0.2347
O: 0.9430 0.6420 0.0766
O: 0.9471 0.0120 0.8866
O: 0.9515 0.5162 0.8875
O: 0.9901 0.8604 0.5484
O: 0.9907 0.4144 0.2351
O: 0.9920 0.3588 0.5471

Crystal system: monoclinic
SG: No. 9
Distance to the lowest polymorph of the same formula, eV/f.u.: 0.00
Calculated total energy, eV per atom: -6.206
Formation energy without anion corrections, eV per atom: -2.145
M_tot, μB/cell: 0.00

Entry 18:
The following is a PBE calculation of a relaxed HfNbReTc crystal, from Alexandria via LeMat-Bulk.

Cell lengths 3.2400, 4.5414, 4.5871 Å; angles 90.00, 90.00, 90.00 degrees
Fractional positions:
Hf: 0.0000 0.0000 0.0000
Nb: 0.0000 0.5000 0.5000
Re: 0.5000 0.0000 0.5000
Tc: 0.5000 0.5000 0.0000

Crystal system: orthorhombic
SG: No. 47
Distance to the lowest polymorph of the same formula, eV/f.u.: 0.05
Calculated total energy, eV per atom: -11.086
M_tot, μB/cell: 0.00
ΔH_f (0 K), eV per atom: -0.377

Entry 19:
The following is a PBE calculation of a relaxed RbSmSe2 crystal, from Alexandria via LeMat-Bulk.

Cell lengths 8.5160, 8.5160, 8.5160 Å; angles 29.29, 29.29, 29.29 degrees
Fractional positions:
Rb: 0.0000 0.0000 0.0000
Sm: 0.8308 0.8308 0.8308
Se: 0.2301 0.2301 0.2301
Se: 0.4315 0.4315 0.4315

Crystal system: trigonal
SG: No. 160
Calculated total energy, eV per atom: -4.882
Formation energy without anion corrections, eV per atom: -1.718
M_tot, μB/cell: 0.00

Entry 20:
The following is a PBE calculation of a relaxed AcLa4Cd5 crystal, from Alexandria via LeMat-Bulk.

Cell lengths 3.9759, 3.9759, 19.7047 Å; angles 90.00, 90.00, 90.00 degrees
Fractional positions:
Ac: 0.0000 0.0000 0.0000
La: 0.0000 0.0000 0.2054
La: 0.0000 0.0000 0.4018
La: 0.0000 0.0000 0.5982
La: 0.0000 0.0000 0.7946
Cd: 0.5000 0.5000 0.1085
Cd: 0.5000 0.5000 0.3032
Cd: 0.5000 0.5000 0.5000
Cd: 0.5000 0.5000 0.6968
Cd: 0.5000 0.5000 0.8915

Crystal system: tetragonal
SG: No. 123
Calculated total energy, eV per atom: -3.160
M_tot, μB/cell: 1.33
ΔH_f (0 K), eV per atom: -0.321

Entry 21:
The following is a PBE calculation of a relaxed Er4TmN4 crystal, from Alexandria via LeMat-Bulk.

Cell lengths 5.9585, 5.9585, 5.9585 Å; angles 99.55, 99.55, 131.92 degrees
Fractional positions:
Er: 0.1086 0.6891 0.7976
Er: 0.3109 0.1086 0.4195
Er: 0.6891 0.8914 0.5805
Er: 0.8914 0.3109 0.2024
Tm: 0.5000 0.5000 0.0000
N: 0.2030 0.4017 0.6048
N: 0.4017 0.7970 0.1987
N: 0.5983 0.2030 0.8013
N: 0.7970 0.5983 0.3952

Crystal system: tetragonal
SG: No. 87
Calculated total energy, eV per atom: -7.802
Formation energy without anion corrections, eV per atom: -1.577
M_tot, μB/cell: 0.00